NdGa | PBE | optimized geometry

a b c (Å): 4.336 4.336 4.336
angles (deg): 60.00 60.00 60.00
Site moments in Bohr magnetons follow the coordinates.
Positions (direct):
1 Ga 0.000 0.000 0.000  0.06
2 Nd 0.500 0.500 0.500  0.07

Calculated values
- space-group type = Fm-3m (225)
- total energy (eV per atom) = -4.162